Entry 1:
The following is a PBE-GGA calculation of a relaxed structure of BeRe2Au, from Alexandria via LeMat-Bulk. Values from VASP.

Quantum ESPRESSO input file:
```
&SYSTEM
  ibrav = 0, nat = 4, ntyp = 3
/
ATOMIC_SPECIES
Re 186.21 Re.upf
Au 196.97 Au.upf
Be 9.01 Be.upf
CELL_PARAMETERS angstrom
3.9325 0.0000 0.0000
0.0000 2.8133 -0.0117
0.0000 1.2965 5.2541
ATOMIC_POSITIONS crystal
Re 0.5000 0.2879 0.2125
Au 0.0000 0.6611 0.5259
Re 0.0000 0.9737 0.9949
Be 0.5000 0.5773 0.7668
```



Entry 2:
The following is a PBE-GGA calculation of a relaxed structure of TbEr2Tc9, from Alexandria via LeMat-Bulk. Values from VASP.

Quantum ESPRESSO input file:
```
&SYSTEM
  ibrav = 0, nat = 12, ntyp = 3
/
ATOMIC_SPECIES
Tc 98.00 Tc.upf
Er 167.26 Er.upf
Tb 158.93 Tb.upf
CELL_PARAMETERS angstrom
-3.9610 -3.5499 -0.5201
0.3015 -3.8125 -3.7331
2.7492 -7.7173 4.2779
ATOMIC_POSITIONS crystal
Tc 0.4110 0.9267 0.2512
Tc 0.3381 0.3381 0.9857
Tc 0.9267 0.4110 0.2512
Er 0.1436 0.1436 0.5691
Tc 0.5000 0.5000 0.5000
Er 0.8564 0.8564 0.4309
Tc 0.6619 0.6619 0.0143
Tc 0.5890 0.5890 0.7488
Tc 0.5890 0.0733 0.7488
Tb 0.0000 0.0000 0.0000
Tc 0.0733 0.5890 0.7488
Tc 0.4110 0.4110 0.2512
```



Entry 3:
The following is a PBE-GGA calculation of a relaxed structure of Th6Pt5Au, from Alexandria via LeMat-Bulk. Values from VASP.

Quantum ESPRESSO input file:
```
&SYSTEM
  ibrav = 0, nat = 12, ntyp = 3
/
ATOMIC_SPECIES
Th 232.04 Th.upf
Pt 195.08 Pt.upf
Au 196.97 Au.upf
CELL_PARAMETERS angstrom
7.3874 -0.0507 -1.3998
-3.9368 6.2513 -1.3998
0.0228 0.0410 6.8910
ATOMIC_POSITIONS crystal
Th 0.4284 0.0856 0.2553
Pt 0.8366 0.1634 0.5000
Th 0.5716 0.9144 0.7447
Th 0.9144 0.5716 0.7447
Pt 0.5000 0.5000 0.5000
Au 0.0000 0.0000 0.0000
Pt 0.1634 0.8366 0.5000
Th 0.0856 0.4284 0.2553
Th 0.2583 0.2583 0.7458
Pt 0.3328 0.6672 0.0000
Pt 0.6672 0.3328 0.0000
Th 0.7417 0.7417 0.2542
```



Going through the records in order, we get calculated formation energy values of 216 -73 -1068 meV per atom.
Going through the records in order, we get DFT total energy values of -7.759 -8.994 -7.568 eV per atom.